This record from Alexandria via LeMat-Bulk describes a relaxed Sr2RuSeN crystal. The functional is GGA-PBE.

Geometry as POSCAR:
```
Sr2RuSeN
1.0
5.421 0.000 0.000
0.000 5.421 0.000
0.000 0.000 3.826
Sr Ru Se N
2 1 1 1
direct
0.000 0.500 0.000
0.500 0.000 0.000
0.000 0.000 0.500
0.500 0.500 0.500
0.000 0.000 0.000
```

raw formation energy = -0.846 eV/atom
magnetization = 0.54 μB/cell
total energy = -0.422 Ry per atom

This record from Alexandria via LeMat-Bulk describes a relaxed SrRuSeN2 crystal. The functional is GGA-PBE.

Geometry as POSCAR:
```
SrRuSeN2
1.0
3.993 0.000 0.000
0.000 3.993 0.000
0.000 0.000 5.351
Sr Ru Se N
1 1 1 2
direct
0.000 0.000 0.000
0.500 0.500 0.500
0.500 0.500 0.000
0.000 0.500 0.500
0.500 0.000 0.500
```

raw formation energy = 0.031 eV/atom
energy above the lowest structure with this stoichiometry = 0 meV per atom
magnetization = 0.31 μB/cell
total energy = -0.455 Ry per atom

What is the total energy in the second record? -0.455 Ry per atom

What is the raw formation energy in the second record? 0.031 eV/atom

total energy of number 1 (Sr2RuSeN)? -0.422 Ry per atom